Model 1:
This record from Alexandria describes an optimized crystal structure of BaMoS2Cl. The functional is PBE.

CIF file:
```
data_BaMoS2Cl
_symmetry_space_group_name_H-M 'P 1'
_symmetry_Int_Tables_number 1
_symmetry_space_group_name_Hall 'P 1'
_cell_length_a 4.7450
_cell_length_b 4.7450
_cell_length_c 5.1832
_cell_angle_alpha 90.00
_cell_angle_beta 90.00
_cell_angle_gamma 90.00
loop_
_atom_site_label
_atom_site_type_symbol
_atom_site_fract_x
_atom_site_fract_y
_atom_site_fract_z
Ba1 Ba 0.0000 0.0000 0.0000
Mo1 Mo 0.5000 0.5000 0.5000
S1 S 0.0000 0.5000 0.5000
S2 S 0.5000 0.0000 0.5000
Cl1 Cl 0.5000 0.5000 0.0000
```

Results
total magnetic moment: 0.000 μB per formula unit

***

Model 2:
This record from Alexandria describes an optimized crystal structure of BaMoS2Cl. The functional is PBE.

CIF file:
```
data_BaMoS2Cl
_symmetry_space_group_name_H-M 'P 1'
_symmetry_Int_Tables_number 1
_symmetry_space_group_name_Hall 'P 1'
_cell_length_a 5.9297
_cell_length_b 5.9297
_cell_length_c 5.7508
_cell_angle_alpha 90.00
_cell_angle_beta 90.00
_cell_angle_gamma 90.00
loop_
_atom_site_label
_atom_site_type_symbol
_atom_site_fract_x
_atom_site_fract_y
_atom_site_fract_z
Ba1 Ba 0.0000 0.0000 0.0000
Mo1 Mo 0.5000 0.5000 0.5000
S1 S 0.0000 0.5000 0.0000
S2 S 0.5000 0.0000 0.0000
Cl1 Cl 0.0000 0.0000 0.5000
```

Results
total magnetic moment: 2.977 μB per formula unit

***

Name the least stable of them. model 2.

***

Model 1:
This record from Alexandria describes an optimized crystal structure of Ba3NCl3. The functional is PBE.

CIF file:
```
data_Ba3NCl3
_symmetry_space_group_name_H-M 'P 1'
_symmetry_Int_Tables_number 1
_symmetry_space_group_name_Hall 'P 1'
_cell_length_a 13.1732
_cell_length_b 13.1732
_cell_length_c 5.9860
_cell_angle_alpha 90.00
_cell_angle_beta 90.00
_cell_angle_gamma 90.00
loop_
_atom_site_label
_atom_site_type_symbol
_atom_site_fract_x
_atom_site_fract_y
_atom_site_fract_z
Ba1 Ba 0.0929 0.0929 0.0000
Ba2 Ba 0.1028 0.6978 0.0000
Ba3 Ba 0.1978 0.3972 0.5000
Ba4 Ba 0.3022 0.8972 0.0000
Ba5 Ba 0.3972 0.1978 0.5000
Ba6 Ba 0.4071 0.5929 0.5000
Ba7 Ba 0.5929 0.4071 0.5000
Ba8 Ba 0.6028 0.8022 0.5000
Ba9 Ba 0.6978 0.1028 0.0000
Ba10 Ba 0.8022 0.6028 0.5000
Ba11 Ba 0.8972 0.3022 0.0000
Ba12 Ba 0.9071 0.9071 0.0000
N1 N 0.1103 0.8897 0.0000
N2 N 0.3897 0.3897 0.5000
N3 N 0.6103 0.6103 0.5000
N4 N 0.8897 0.1103 0.0000
Cl1 Cl 0.1247 0.3665 0.0000
Cl2 Cl 0.1335 0.6247 0.5000
Cl3 Cl 0.1600 0.1600 0.5000
Cl4 Cl 0.3400 0.6600 0.0000
Cl5 Cl 0.3665 0.1247 0.0000
Cl6 Cl 0.3753 0.8665 0.5000
Cl7 Cl 0.6247 0.1335 0.5000
Cl8 Cl 0.6335 0.8753 0.0000
Cl9 Cl 0.6600 0.3400 0.0000
Cl10 Cl 0.8400 0.8400 0.5000
Cl11 Cl 0.8665 0.3753 0.5000
Cl12 Cl 0.8753 0.6335 0.0000
```

Results
total magnetic moment: 0.082 μB per formula unit

***

Model 2:
This record from Alexandria describes an optimized crystal structure of Ba3NCl3. The functional is PBE.

CIF file:
```
data_Ba3NCl3
_symmetry_space_group_name_H-M 'P 1'
_symmetry_Int_Tables_number 1
_symmetry_space_group_name_Hall 'P 1'
_cell_length_a 8.2554
_cell_length_b 8.2554
_cell_length_c 7.8859
_cell_angle_alpha 95.73
_cell_angle_beta 95.73
_cell_angle_gamma 114.70
loop_
_atom_site_label
_atom_site_type_symbol
_atom_site_fract_x
_atom_site_fract_y
_atom_site_fract_z
Ba1 Ba 0.0999 0.0999 0.3106
Ba2 Ba 0.1651 0.4508 0.7685
Ba3 Ba 0.4508 0.1651 0.7685
Ba4 Ba 0.5492 0.8349 0.2315
Ba5 Ba 0.8349 0.5492 0.2315
Ba6 Ba 0.9001 0.9001 0.6894
N1 N 0.1807 0.1807 0.6407
N2 N 0.8193 0.8193 0.3593
Cl1 Cl 0.1709 0.8291 0.0000
Cl2 Cl 0.2541 0.7459 0.5000
Cl3 Cl 0.3913 0.3913 0.1411
Cl4 Cl 0.6087 0.6087 0.8589
Cl5 Cl 0.7459 0.2541 0.5000
Cl6 Cl 0.8291 0.1709 0.0000
```

Results
total magnetic moment: 0.141 μB per formula unit

***

Name the least stable of them. model 1.